Entry 1:
## SrLiCd2Hg5 (PBE-GGA)

Data for crystalline SrLiCd2Hg5 at its relaxed geometry.

Cell lengths 5.063, 6.599, 8.529 Å; angles 112.76, 107.27, 90.00 degrees
Element x y z (fractional)
Hg 0.640 0.876 0.280
Cd 0.192 0.192 0.384
Li 0.500 0.000 0.000
Hg 0.360 0.597 0.720
Sr 0.000 0.500 0.000
Hg 0.640 0.403 0.280
Hg 0.000 0.000 0.000
Hg 0.360 0.124 0.720
Cd 0.808 0.808 0.616

Output
The symmetry is No. 71. The value obtained for the formation energy is -0.15 eV per atom. The value obtained for the total energy is -0.925 eV per atom.

Entry 2:
## SrLi4CdHg2 (PBE-GGA)

Data for crystalline SrLi4CdHg2 at its relaxed geometry.

Cell lengths 4.735, 4.735, 9.502 Å; angles 75.57, 75.57, 60.00 degrees
Element x y z (fractional)
Hg 0.755 0.755 0.734
Li 0.596 0.596 0.213
Hg 0.245 0.245 0.266
Cd 0.500 0.500 0.500
Li 0.404 0.404 0.787
Sr 0.000 0.000 0.000
Li 0.135 0.135 0.596
Li 0.865 0.865 0.404

Output
The symmetry is No. 166. The value obtained for the formation energy is -0.28 eV per atom. The value obtained for the total energy is -1.632 eV per atom.

Entry 3:
## Sr2Li4CdHg3 (PBE-GGA)

Data for crystalline Sr2Li4CdHg3 at its relaxed geometry.

Cell lengths 4.787, 4.787, 10.923 Å; angles 90.00, 90.00, 90.00 degrees
Element x y z (fractional)
Sr 0.000 0.500 0.749
Li 0.000 0.500 0.375
Cd 0.500 0.500 0.500
Hg 0.500 0.000 0.871
Hg 0.000 0.000 0.500
Li 0.500 0.000 0.625
Hg 0.000 0.500 0.129
Sr 0.500 0.000 0.251
Li 0.500 0.500 0.000
Li 0.000 0.000 0.000

Output
The symmetry is No. 115. The value obtained for the formation energy is -0.34 eV per atom. The value obtained for the total energy is -1.619 eV per atom.

Entry 4:
## SrLi2CdHg (PBE-GGA)

Data for crystalline SrLi2CdHg at its relaxed geometry.

Cell lengths 5.158, 5.158, 5.403 Å; angles 90.00, 90.00, 90.00 degrees
Element x y z (fractional)
Li 0.000 0.500 0.000
Cd 0.000 0.000 0.500
Li 0.500 0.000 0.000
Hg 0.000 0.000 0.000
Sr 0.500 0.500 0.500

Output
The symmetry is No. 123. The value obtained for the formation energy is -0.11 eV per atom. The value obtained for the total energy is -1.455 eV per atom.

Entry 5:
## SrLi2CdHg4 (PBE-GGA)

Data for crystalline SrLi2CdHg4 at its relaxed geometry.

Cell lengths 4.845, 4.845, 9.995 Å; angles 75.97, 75.97, 60.00 degrees
Element x y z (fractional)
Hg 0.878 0.878 0.366
Hg 0.122 0.122 0.634
Hg 0.395 0.395 0.815
Cd 0.500 0.500 0.500
Hg 0.605 0.605 0.185
Sr 0.000 0.000 0.000
Li 0.772 0.772 0.684
Li 0.228 0.228 0.316

Output
The symmetry is No. 166. The value obtained for the formation energy is -0.33 eV per atom. The value obtained for the total energy is -1.280 eV per atom.

Entry 6:
## SrLiCd3Hg (PBE-GGA)

Data for crystalline SrLiCd3Hg at its relaxed geometry.

Cell lengths 6.489, 6.633, 7.778 Å; angles 115.24, 90.00, 90.00 degrees
Element x y z (fractional)
Li 0.750 0.077 0.153
Cd 0.250 0.130 0.260
Sr 0.250 0.706 0.411
Cd 0.000 0.717 0.000
Sr 0.750 0.294 0.589
Hg 0.250 0.341 0.682
Cd 0.000 0.283 0.000
Cd 0.500 0.283 0.000
Li 0.250 0.923 0.847
Hg 0.750 0.659 0.318
Cd 0.500 0.717 0.000
Cd 0.750 0.870 0.740

Output
The symmetry is No. 63. The value obtained for the formation energy is -0.21 eV per atom. The value obtained for the total energy is -1.321 eV per atom.

Entry 7:
## SrLi3CdHg (PBE-GGA)

Data for crystalline SrLi3CdHg at its relaxed geometry.

Cell lengths 6.050, 6.808, 8.044 Å; angles 115.04, 90.00, 90.00 degrees
Element x y z (fractional)
Li 0.750 0.858 0.717
Cd 0.250 0.946 0.892
Li 0.000 0.311 0.000
Li 0.250 0.142 0.283
Hg 0.750 0.648 0.295
Sr 0.250 0.725 0.449
Sr 0.750 0.275 0.551
Li 0.500 0.689 0.000
Cd 0.750 0.054 0.108
Li 0.000 0.689 0.000
Hg 0.250 0.352 0.705
Li 0.500 0.311 0.000

Output
The symmetry is No. 63. The value obtained for the formation energy is -0.19 eV per atom. The value obtained for the total energy is -1.630 eV per atom.

Entry 8:
## Sr2LiCd3Hg4 (PBE-GGA)

Data for crystalline Sr2LiCd3Hg4 at its relaxed geometry.

Cell lengths 4.613, 4.613, 12.894 Å; angles 90.00, 90.00, 90.00 degrees
Element x y z (fractional)
Hg 0.000 0.000 0.000
Hg 0.500 0.500 0.000
Cd 0.500 0.000 0.857
Li 0.500 0.500 0.500
Hg 0.000 0.500 0.363
Cd 0.000 0.000 0.500
Sr 0.500 0.000 0.249
Sr 0.000 0.500 0.751
Cd 0.000 0.500 0.143
Hg 0.500 0.000 0.637

Output
The symmetry is No. 115. The value obtained for the formation energy is -0.31 eV per atom. The value obtained for the total energy is -1.236 eV per atom.